(1)
Material: PmTa2N4
Method: DFT, GGA-PBE
State: optimized geometry

Cell and atoms, written as extended XYZ:
```
14
Lattice="-0.5229 2.4890 -1.8910 -4.2390 -3.2934 -0.5066 -4.8085 4.9769 7.8803" Properties=species:S:1:pos:R:3 pbc="T T T"
Pm -4.9191 4.4985 4.6255
Pm -4.6513 -0.3260 0.8571
Ta -3.2471 1.6298 3.0431
Ta -8.0902 4.3715 5.3351
Ta -1.4802 -0.1989 0.1475
Ta -6.3233 2.5427 2.4395
N -3.1796 0.7004 -0.8546
N -4.5311 2.0993 1.3603
N -6.3909 3.4721 6.3373
N -5.0394 2.0732 4.1224
N -7.7828 3.1949 3.7015
N -1.7877 0.9777 1.7811
N -0.2615 1.2445 -0.9455
N -2.6657 3.7329 2.9946
```

The relative energy among the computed polymorphs comes out at 0.00 eV per formula unit. The calculation puts the calculated total energy at -10.104 eV/atom. For the uncorrected formation energy, the calculation gives -1281.7 meV per atom. Its size of the total moment is 0.0 μB per formula unit. The space group is Cmcm. The value obtained for the density of states at the Fermi level is 0.14 states/eV/atom.

=====

(2)
Material: CsKNa2Br
Method: DFT, GGA-PBE
State: optimized geometry

Cell and atoms, written as extended XYZ:
```
5
Lattice="-2.3999 5.7949 0.0997 -1.6437 -0.5770 -6.0263 -6.2519 -2.6229 1.9564" Properties=species:S:1:pos:R:3 pbc="T T T"
Cs -3.1259 -1.3114 0.9782
Na -0.8218 -0.2885 -3.0131
Na -1.2000 2.8975 0.0499
K -5.1478 1.2975 -1.9851
Br 0.0000 0.0000 0.0000
```

The relative energy among the computed polymorphs comes out at 0.00 eV per formula unit. The calculation puts the calculated total energy at -1.736 eV/atom. For the uncorrected formation energy, the calculation gives -483.8 meV per atom. Its size of the total moment is 0.0 μB per formula unit. The space group is P4/mmm. The value obtained for the density of states at the Fermi level is 0.51 states/eV/atom.

=====

(3)
Material: SiB3
Method: DFT, GGA-PBE
State: optimized geometry

Cell and atoms, written as extended XYZ:
```
8
Lattice="4.7803 0.0000 -0.0098 0.0000 2.9489 0.0000 -2.2612 0.0000 5.2592" Properties=species:S:1:pos:R:3 pbc="T T T"
Si -1.7533 0.0000 4.2978
Si -0.6227 1.4745 1.6682
B -0.2379 0.0000 2.9876
B 0.8927 1.4745 0.3580
B 0.6853 0.0000 4.4509
B 1.8159 1.4745 1.8213
B 1.5008 0.0000 2.8474
B 2.6314 1.4745 0.2177
```

The relative energy among the computed polymorphs comes out at 1.32 eV per formula unit. The calculation puts the calculated total energy at -6.076 eV/atom. For the uncorrected formation energy, the calculation gives 287.6 meV per atom. Its size of the total moment is 0.0 μB per formula unit. The space group is Cm. The value obtained for the density of states at the Fermi level is 0.10 states/eV/atom.

=====

(4)
Material: Th2UTl
Method: DFT, GGA-PBE
State: optimized geometry

Cell and atoms, written as extended XYZ:
```
4
Lattice="-3.6992 0.9999 1.0731 -1.1532 -0.1834 -3.8042 -1.6288 -6.9133 0.8271" Properties=species:S:1:pos:R:3 pbc="T T T"
Tl -3.2406 -3.0484 -0.9520
U -2.4262 0.4083 -1.3655
Th -1.2374 -5.2521 0.6283
Th -0.3914 -1.6612 0.1987
```

The relative energy among the computed polymorphs comes out at 0.17 eV per formula unit. The calculation puts the calculated total energy at -6.876 eV/atom. Its size of the total moment is 2.2 μB per formula unit. The space group is P4/mmm. The value obtained for the formation energy is 0.25 eV per atom. The value obtained for the density of states at the Fermi level is 2.38 states/eV/atom.

=====

(5)
Material: UInGa
Method: DFT, GGA-PBE
State: optimized geometry

Cell and atoms, written as extended XYZ:
```
3
Lattice="3.2704 0.0000 0.0000 0.0000 3.2704 0.0000 -1.6352 -1.6352 6.3542" Properties=species:S:1:pos:R:3 pbc="T T T"
U 0.0000 0.0000 4.1058
Ga 1.6352 1.6352 2.0721
In 0.0000 0.0000 0.1763
```

The relative energy among the computed polymorphs comes out at 0.21 eV per formula unit. The calculation puts the calculated total energy at -5.549 eV/atom. Its size of the total moment is 3.3 μB per formula unit. The space group is I4mm. The value obtained for the formation energy is 0.14 eV per atom. The value obtained for the density of states at the Fermi level is 1.84 states/eV/atom.

=====

(6)
Material: Nd6Y4Ho
Method: DFT, GGA-PBE
State: optimized geometry

Cell and atoms, written as extended XYZ:
```
22
Lattice="5.8832 0.0000 0.0000 -2.9416 4.8860 0.0000 0.0000 0.0000 26.0055" Properties=species:S:1:pos:R:3 pbc="T T T"
Nd 2.9416 0.0000 0.0000
Nd 2.9416 0.0000 13.0027
Nd 0.0000 1.2191 8.2465
Nd 2.9416 3.6669 17.7590
Nd 2.9416 3.6669 21.2493
Nd 0.0000 1.2191 4.7562
Nd 2.9416 2.9468 10.3500
Nd 0.0000 1.9392 15.6554
Nd 0.0000 1.9392 23.3528
Nd 2.9416 2.9468 2.6527
Nd 0.0000 4.4037 6.5014
Nd 2.9416 0.4823 19.5041
Y 2.9416 3.4128 14.1566
Y 0.0000 4.4953 3.2290
Y 0.0000 1.4732 11.8488
Y 2.9416 0.3907 22.7764
Y 2.9416 3.4128 24.8516
Y 0.0000 1.4732 1.1539
Y 2.9416 0.3907 16.2318
Y 0.0000 4.4953 9.7737
Ho 2.9416 2.8208 6.5014
Ho 0.0000 2.0653 19.5041
```

The relative energy among the computed polymorphs comes out at 0.00 eV per formula unit. The calculation puts the calculated total energy at -5.256 eV/atom. Its size of the total moment is 0.0 μB per formula unit. The space group is Cmcm. The value obtained for the formation energy is 0.11 eV per atom. The value obtained for the density of states at the Fermi level is 1.74 states/eV/atom.

=====

(7)
Material: TcSnI2O
Method: DFT, GGA-PBE
State: optimized geometry

Cell and atoms, written as extended XYZ:
```
5
Lattice="-3.5897 4.2839 -2.5610 -4.9493 -2.6481 2.5077 0.4207 2.3028 3.2622" Properties=species:S:1:pos:R:3 pbc="T T T"
I -2.4746 -1.3241 1.2538
I -1.7949 2.1419 -1.2805
Sn 0.0000 0.0000 0.0000
O 0.2104 1.1514 1.6311
Tc -4.0591 1.9693 1.6044
```

The relative energy among the computed polymorphs comes out at 3.41 eV per formula unit. The calculation puts the calculated total energy at -4.015 eV/atom. For the uncorrected formation energy, the calculation gives 470.5 meV per atom. Its size of the total moment is 4.4 μB per formula unit. The space group is P4/mmm. The value obtained for the density of states at the Fermi level is 0.46 states/eV/atom.

=====

(8)
Material: TlBi3Au3
Method: DFT, GGA-PBE
State: optimized geometry

Cell and atoms, written as extended XYZ:
```
14
Lattice="7.9141 0.0000 0.0000 0.0000 7.9141 0.0000 0.0000 0.0000 7.9141" Properties=species:S:1:pos:R:3 pbc="T T T"
Tl 3.9571 3.9571 3.9571
Tl 0.0000 0.0000 0.0000
Au 0.0000 1.9785 3.9571
Au 0.0000 5.9356 3.9571
Au 3.9571 0.0000 5.9356
Au 5.9356 3.9571 0.0000
Au 3.9571 0.0000 1.9785
Au 1.9785 3.9571 0.0000
Bi 1.9785 0.0000 3.9571
Bi 0.0000 3.9571 1.9785
Bi 3.9571 5.9356 0.0000
Bi 5.9356 0.0000 3.9571
Bi 0.0000 3.9571 5.9356
Bi 3.9571 1.9785 0.0000
```

The relative energy among the computed polymorphs comes out at 0.98 eV per formula unit. The calculation puts the calculated total energy at -3.265 eV/atom. Its size of the total moment is 0.0 μB per formula unit. The space group is Pm-3n. The value obtained for the formation energy is 0.14 eV per atom. The value obtained for the density of states at the Fermi level is 0.52 states/eV/atom.

=====

(9)
Material: Ac5ZnSe8
Method: DFT, GGA-PBE
State: optimized geometry

Cell and atoms, written as extended XYZ:
```
14
Lattice="7.6761 0.0000 -2.6252 -3.8367 6.6004 -2.7437 -0.0027 0.0000 8.1126" Properties=species:S:1:pos:R:3 pbc="T T T"
Ac -1.3589 2.5189 0.0016
Ac 3.2725 5.8087 -2.6775
Ac 3.3989 4.0815 1.4573
Ac 3.8367 0.0000 2.7437
Ac 2.3609 0.7917 6.7061
Zn -0.0013 3.3002 4.0563
Se -1.8266 4.9688 -2.2137
Se 7.0418 0.7381 3.0298
Se 4.8842 1.5871 0.2508
Se 3.3999 2.6371 4.3826
Se 1.4097 3.9634 -0.9431
Se 1.3069 5.8623 2.9405
Se 1.1513 1.6316 1.7308
Se -2.0204 5.0133 1.7972
```

The calculation puts the calculated total energy at -5.323 eV/atom. For the uncorrected formation energy, the calculation gives -1773.9 meV per atom. Its size of the total moment is 0.0 μB per formula unit. The space group is I-4. The value obtained for the density of states at the Fermi level is 0.29 states/eV/atom.

=====

(10)
Material: Y3Tm2ThTe6
Method: DFT, GGA-PBE
State: optimized geometry

Cell and atoms, written as extended XYZ:
```
12
Lattice="-0.5993 0.1299 -4.1957 -5.3175 -7.2212 0.5360 -6.1830 6.6572 3.2320" Properties=species:S:1:pos:R:3 pbc="T T T"
Y -2.9584 -3.5456 -1.8298
Y -5.6229 3.6910 -1.2252
Y -6.4770 -4.1251 0.7975
Tm -8.0991 -0.1644 -0.9908
Tm -4.0008 -0.2697 0.5632
Th -0.2997 0.0650 -2.0978
Te -8.9368 -2.0958 1.2117
Te -5.6556 -1.9843 -1.3962
Te -3.1631 1.6617 -1.6394
Te -1.5133 -1.7889 0.1608
Te -10.5866 1.3548 -0.5884
Te -6.4443 1.5502 0.9685
```

The calculation puts the calculated total energy at -5.758 eV/atom. For the uncorrected formation energy, the calculation gives -1207.5 meV per atom. Its size of the total moment is 0.0 μB per formula unit. The space group is C2/m. The value obtained for the density of states at the Fermi level is 0.66 states/eV/atom.

=====

(11)
Material: Rb2AgHCl6
Method: DFT, GGA-PBE
State: optimized geometry

Cell and atoms, written as extended XYZ:
```
20
Lattice="-0.4861 -4.1827 5.0661 2.8645 -6.2515 -4.8865 10.3038 2.6672 2.6279" Properties=species:S:1:pos:R:3 pbc="T T T"
Rb 4.5495 -8.9449 1.1107
Rb 9.1274 -3.7367 1.2855
Rb 8.1326 1.1779 1.6967
Rb 3.5548 -4.0303 1.5220
Ag 4.9088 -0.7577 3.8470
Ag 1.4323 -3.1258 -2.4433
H -0.2431 -2.0913 2.5330
H 6.5842 -1.7922 -1.1293
Cl 12.5940 -4.2089 -0.1931
Cl 6.3974 -5.8845 2.3935
Cl 0.0882 -3.5581 3.0005
Cl 6.2848 -1.8825 0.4140
Cl 7.7629 -4.7590 -1.6991
Cl 1.8112 -6.9687 0.4699
Cl 4.9192 -3.0080 4.5065
Cl 10.8710 -0.7983 2.3376
Cl 3.5430 -2.6510 -1.5515
Cl 7.1226 -0.5077 4.5631
Cl 9.1392 -5.1160 4.3590
Cl 5.5596 -7.2593 -1.7556
```

The relative energy among the computed polymorphs comes out at 0.00 eV per formula unit. The calculation puts the calculated total energy at -2.933 eV/atom. Its size of the total moment is 0.0 μB per formula unit. The space group is P2_1/c.

=====

(12)
Material: MgSi3F
Method: DFT, GGA-PBE
State: optimized geometry

Cell and atoms, written as extended XYZ:
```
5
Lattice="-0.9998 1.0380 4.1885 3.2457 -2.6524 1.4321 2.8437 3.3924 -0.1619" Properties=species:S:1:pos:R:3 pbc="T T T"
Si 1.6229 -1.3262 0.7160
Si 1.4218 1.6962 -0.0809
Si -0.4999 0.5190 2.0943
Mg 2.5448 0.8890 2.7294
F 0.0000 0.0000 0.0000
```

The relative energy among the computed polymorphs comes out at 0.00 eV per formula unit. The calculation puts the calculated total energy at -3.700 eV/atom. For the uncorrected formation energy, the calculation gives 246.5 meV per atom. Its size of the total moment is 0.0 μB per formula unit. The space group is Pm-3m. The value obtained for the density of states at the Fermi level is 0.56 states/eV/atom.